An optimized crystal structure of Y4MgZn3. Source: Alexandria, functional GGA-PBE.

a b c (Å): 3.651 5.126 10.249
angles (deg): 90.00 90.00 90.00
Positions (direct):
Y 0.000 0.500 0.739
Y 0.000 0.000 0.000
Y 0.000 0.500 0.261
Y 0.000 0.000 0.500
Zn 0.500 0.000 0.243
Zn 0.500 0.000 0.757
Zn 0.500 0.500 0.500
Mg 0.500 0.500 0.000

Space group: Pmmm (47)
DOS at the Fermi energy in states/eV/f.u.: 9.1
M_tot in μB/atom: 0.000
Energy of formation from the pure elements in eV/f.u.: -2.3

An optimized crystal structure of Y4MgZn. Source: Alexandria, functional GGA-PBE.

a b c (Å): 4.991 4.992 7.572
angles (deg): 90.01 90.00 90.00
Positions (direct):
Y 0.001 0.497 0.725
Y 0.501 0.997 0.271
Y 0.001 0.497 0.272
Y 0.501 0.997 0.725
Mg 0.501 0.497 0.998
Zn 0.001 0.998 0.498

E above lowest polymorph in meV per atom: 332
Space group: P4/mmm (123)
DOS at the Fermi energy in states/eV/f.u.: 8.5
M_tot in μB/atom: 0.000
Energy of formation from the pure elements in eV/f.u.: 1.2

An optimized crystal structure of YMg2Zn6. Source: Alexandria, functional GGA-PBE.

a b c (Å): 3.435 7.741 7.741
angles (deg): 57.84 77.18 77.18
Positions (direct):
Zn 0.500 0.329 0.671
Zn 0.323 0.997 0.358
Zn 0.500 0.671 0.329
Zn 0.323 0.358 0.997
Zn 0.677 0.003 0.642
Zn 0.677 0.642 0.003
Mg 0.138 0.362 0.362
Mg 0.862 0.638 0.638
Y 0.000 0.000 0.000

E above lowest polymorph in meV per atom: 9
Space group: Immm (71)
DOS at the Fermi energy in states/eV/f.u.: 4.2
M_tot in μB/atom: 0.000
Energy of formation from the pure elements in eV/f.u.: -1.4

An optimized crystal structure of Y2Mg3Zn4. Source: Alexandria, functional GGA-PBE.

a b c (Å): 5.948 7.577 8.923
angles (deg): 90.00 109.47 90.00
Positions (direct):
Zn 0.322 0.250 0.144
Zn 0.178 0.750 0.856
Zn 0.661 0.518 0.322
Zn 0.822 0.250 0.144
Zn 0.161 0.982 0.322
Zn 0.678 0.750 0.856
Zn 0.839 0.018 0.678
Zn 0.339 0.482 0.678
Mg 0.487 0.250 0.475
Mg 0.987 0.250 0.475
Mg 0.000 0.000 0.000
Mg 0.013 0.750 0.525
Mg 0.513 0.750 0.525
Mg 0.500 0.500 0.000
Y 0.904 0.399 0.808
Y 0.404 0.101 0.808
Y 0.596 0.899 0.192
Y 0.096 0.601 0.192

Space group: Cmce (64)
DOS at the Fermi energy in states/eV/f.u.: 6.4
M_tot in μB/atom: 0.000
Energy of formation from the pure elements in eV/f.u.: -1.8

An optimized crystal structure of YMg3Zn. Source: Alexandria, functional GGA-PBE.

a b c (Å): 3.796 7.576 8.401
angles (deg): 73.06 90.00 90.00
Positions (direct):
Mg 0.881 0.668 0.499
Mg 0.881 0.674 0.891
Mg 0.381 0.000 0.915
Mg 0.881 0.251 0.055
Mg 0.381 0.007 0.307
Mg 0.381 0.424 0.752
Y 0.381 0.507 0.241
Y 0.881 0.168 0.565
Zn 0.381 0.843 0.651
Zn 0.881 0.832 0.155

E above lowest polymorph in meV per atom: 0
Space group: P2_1/m (11)
DOS at the Fermi energy in states/eV/f.u.: 2.9
M_tot in μB/atom: 0.000
Energy of formation from the pure elements in eV/f.u.: -0.7

An optimized crystal structure of YMg9Zn3. Source: Alexandria, functional GGA-PBE.

a b c (Å): 5.663 7.465 7.495
angles (deg): 82.14 67.81 68.76
Positions (direct):
Mg 0.006 0.340 0.646
Mg 0.293 0.209 0.217
Mg 0.000 0.500 0.000
Mg 0.994 0.660 0.354
Mg 0.510 0.209 0.783
Mg 0.707 0.791 0.783
Mg 0.348 0.660 0.646
Mg 0.652 0.340 0.354
Mg 0.490 0.791 0.217
Y 0.000 0.000 0.000
Zn 0.500 0.500 0.000
Zn 0.000 0.000 0.500
Zn 0.500 0.000 0.500

Space group: C2/m (12)
DOS at the Fermi energy in states/eV/f.u.: 5.2
M_tot in μB/atom: 0.000
Energy of formation from the pure elements in eV/f.u.: -1.3

An optimized crystal structure of Y2MgZn6. Source: Alexandria, functional GGA-PBE.

a b c (Å): 5.982 5.763 5.765
angles (deg): 120.00 89.98 89.99
Positions (direct):
Zn 0.656 0.179 0.821
Zn 0.344 0.821 0.179
Zn 0.656 0.642 0.821
Zn 0.656 0.179 0.358
Zn 0.344 0.821 0.642
Zn 0.344 0.358 0.179
Y 0.856 0.667 0.333
Y 0.144 0.333 0.667
Mg 0.000 0.000 0.000

Space group: P-3m1 (164)
DOS at the Fermi energy in states/eV/f.u.: 3.8
M_tot in μB/atom: 0.000
Energy of formation from the pure elements in eV/f.u.: -2.5

An optimized crystal structure of YMg2Zr. Source: Alexandria, functional GGA-PBE.

a b c (Å): 5.235 5.235 5.235
angles (deg): 60.00 60.00 60.00
Last column: magnetic moment on the atom in μB.
Positions (direct):
Mg 0.250 0.250 0.250  -0.01
Mg 0.000 0.000 0.000  0.00
Zr 0.750 0.750 0.750  1.04
Y 0.500 0.500 0.500  0.39

E above lowest polymorph in meV per atom: 258
Space group: F-43m (216)
DOS at the Fermi energy in states/eV/f.u.: 5.9
M_tot in μB/atom: 0.571
Energy of formation from the pure elements in eV/f.u.: 1.0

An optimized crystal structure of YMg14Zr. Source: Alexandria, functional GGA-PBE.

a b c (Å): 6.531 6.531 10.229
angles (deg): 90.00 90.00 120.00
Positions (direct):
Mg 0.499 0.501 0.500
Mg 0.668 0.834 0.744
Mg 0.667 0.333 0.245
Mg 0.166 0.834 0.256
Mg 0.166 0.332 0.256
Mg 0.499 0.998 0.500
Mg 0.495 0.990 0.000
Mg 0.166 0.332 0.744
Mg 0.667 0.333 0.755
Mg 0.668 0.834 0.256
Mg 0.166 0.834 0.744
Mg 0.010 0.505 0.000
Mg 0.002 0.501 0.500
Mg 0.495 0.505 0.000
Zr 0.000 0.000 0.500
Y 0.000 0.000 0.000

Space group: P-6m2 (187)
DOS at the Fermi energy in states/eV/f.u.: 12.6
M_tot in μB/atom: 0.000
Energy of formation from the pure elements in eV/f.u.: 0.4

An optimized crystal structure of YMg2Zr. Source: Alexandria, functional GGA-PBE.

a b c (Å): 11.213 11.213 11.213
angles (deg): 16.58 16.58 16.58
Positions (direct):
Mg 0.497 0.497 0.497
Mg 0.003 0.003 0.003
Zr 0.750 0.750 0.750
Y 0.250 0.250 0.250

E above lowest polymorph in meV per atom: 122
Space group: R-3m (166)
DOS at the Fermi energy in states/eV/f.u.: 4.8
M_tot in μB/atom: 0.000
Energy of formation from the pure elements in eV/f.u.: 0.4

An optimized crystal structure of Y2Mg2Zr. Source: Alexandria, functional GGA-PBE.

a b c (Å): 8.733 8.733 3.514
angles (deg): 90.00 90.00 90.00
Positions (direct):
Y 0.823 0.323 0.500
Y 0.677 0.823 0.500
Y 0.323 0.177 0.500
Y 0.177 0.677 0.500
Mg 0.122 0.378 0.000
Mg 0.622 0.122 0.000
Mg 0.878 0.622 0.000
Mg 0.378 0.878 0.000
Zr 0.000 0.000 0.000
Zr 0.500 0.500 0.000

Space group: P4/mbm (127)
DOS at the Fermi energy in states/eV/f.u.: 5.6
M_tot in μB/atom: 0.000
Energy of formation from the pure elements in eV/f.u.: 0.9

An optimized crystal structure of Y2MgZr. Source: Alexandria, functional GGA-PBE.

a b c (Å): 3.407 4.720 6.784
angles (deg): 90.00 90.00 90.00
Positions (direct):
Mg 0.500 0.500 0.741
Zr 0.000 0.000 0.494
Y 0.500 0.500 0.272
Y 0.000 0.000 0.993

Space group: Pmm2 (25)
DOS at the Fermi energy in states/eV/f.u.: 5.1
M_tot in μB/atom: 0.000
Energy of formation from the pure elements in eV/f.u.: 0.4

An optimized crystal structure of YMg2Zr2. Source: Alexandria, functional GGA-PBE.

a b c (Å): 8.585 8.585 3.292
angles (deg): 90.00 90.00 90.00
Positions (direct):
Y 0.500 0.500 0.000
Y 0.000 0.000 0.000
Zr 0.826 0.326 0.500
Zr 0.174 0.674 0.500
Zr 0.326 0.174 0.500
Zr 0.674 0.826 0.500
Mg 0.378 0.878 0.000
Mg 0.622 0.122 0.000
Mg 0.122 0.378 0.000
Mg 0.878 0.622 0.000

E above lowest polymorph in meV per atom: 0
Space group: P4/mbm (127)
DOS at the Fermi energy in states/eV/f.u.: 4.3
M_tot in μB/atom: 0.000
Energy of formation from the pure elements in eV/f.u.: 0.8

An optimized crystal structure of YMg2Zr. Source: Alexandria, functional GGA-PBE.

a b c (Å): 3.342 3.342 9.007
angles (deg): 90.00 90.00 89.96
Positions (direct):
Y 0.000 0.000 0.507
Zr 0.500 0.500 0.762
Mg 0.500 0.500 0.231
Mg 0.000 0.000 0.001

E above lowest polymorph in meV per atom: 0
Space group: P4mm (99)
DOS at the Fermi energy in states/eV/f.u.: 2.5
M_tot in μB/atom: 0.000
Energy of formation from the pure elements in eV/f.u.: -0.1

An optimized crystal structure of YMg2Zr2. Source: Alexandria, functional GGA-PBE.

a b c (Å): 7.742 7.742 7.742
angles (deg): 147.85 147.85 46.10
Positions (direct):
Y 0.000 0.000 0.000
Mg 0.750 0.250 0.500
Mg 0.250 0.750 0.500
Zr 0.406 0.406 0.000
Zr 0.594 0.594 0.000

E above lowest polymorph in meV per atom: 227
Space group: I4/mmm (139)
DOS at the Fermi energy in states/eV/f.u.: 5.8
M_tot in μB/atom: 0.000
Energy of formation from the pure elements in eV/f.u.: 2.0

An optimized crystal structure of Y2MgZr. Source: Alexandria, functional GGA-PBE.

a b c (Å): 5.225 3.337 6.532
angles (deg): 75.25 90.00 90.00
Positions (direct):
Mg 0.500 0.561 0.756
Zr 0.000 0.692 0.491
Y 0.000 0.960 0.955
Y 0.500 0.288 0.299

Space group: Amm2 (38)
DOS at the Fermi energy in states/eV/f.u.: 6.3
M_tot in μB/atom: 0.000
Energy of formation from the pure elements in eV/f.u.: 0.3

An optimized crystal structure of Y2MgZr. Source: Alexandria, functional GGA-PBE.

a b c (Å): 5.733 5.733 5.733
angles (deg): 129.99 129.99 73.42
Positions (direct):
Zr 0.250 0.750 0.500
Mg 0.750 0.250 0.500
Y 0.500 0.500 0.000
Y 0.000 0.000 0.000

Space group: I4/mmm (139)
DOS at the Fermi energy in states/eV/f.u.: 6.5
M_tot in μB/atom: 0.001
Energy of formation from the pure elements in eV/f.u.: 0.4

An optimized crystal structure of YMg2Zr. Source: Alexandria, functional GGA-PBE.

a b c (Å): 6.357 6.357 6.357
angles (deg): 148.28 132.02 58.67
Positions (direct):
Mg 0.490 0.490 0.000
Mg 0.010 0.010 0.000
Zr 0.250 0.750 0.500
Y 0.750 0.250 0.500

E above lowest polymorph in meV per atom: 138
Space group: Immm (71)
DOS at the Fermi energy in states/eV/f.u.: 3.8
M_tot in μB/atom: 0.000
Energy of formation from the pure elements in eV/f.u.: 0.5

An optimized crystal structure of Y2MgZr. Source: Alexandria, functional GGA-PBE.

a b c (Å): 4.529 4.529 11.476
angles (deg): 78.62 78.62 90.00
Positions (direct):
Zr 0.000 0.000 0.000
Zr 0.750 0.250 0.500
Y 0.875 0.874 0.750
Y 0.375 0.376 0.750
Y 0.126 0.625 0.250
Y 0.624 0.125 0.250
Mg 0.500 0.500 0.000
Mg 0.250 0.750 0.500

Space group: I-42d (122)
DOS at the Fermi energy in states/eV/f.u.: 2.2
M_tot in μB/atom: 0.000
Energy of formation from the pure elements in eV/f.u.: 1.9

An optimized crystal structure of YMg14Zr. Source: Alexandria, functional GGA-PBE.

a b c (Å): 6.537 6.537 10.415
angles (deg): 90.00 90.00 121.99
Positions (direct):
Mg 0.665 0.335 0.245
Mg 0.327 0.169 0.500
Mg 0.834 0.671 0.000
Mg 0.329 0.166 0.000
Mg 0.666 0.828 0.247
Mg 0.831 0.673 0.500
Mg 0.666 0.828 0.753
Mg 0.172 0.334 0.247
Mg 0.665 0.335 0.755
Mg 0.331 0.669 0.000
Mg 0.173 0.827 0.744
Mg 0.172 0.334 0.753
Mg 0.173 0.827 0.256
Mg 0.830 0.170 0.000
Zr 0.338 0.662 0.500
Y 0.827 0.173 0.500

Space group: Amm2 (38)
DOS at the Fermi energy in states/eV/f.u.: 10.6
M_tot in μB/atom: 0.000
Energy of formation from the pure elements in eV/f.u.: 0.4

An optimized crystal structure of YMg2Zr. Source: Alexandria, functional GGA-PBE.

a b c (Å): 3.631 3.631 7.414
angles (deg): 90.00 90.00 90.00
Positions (direct):
Mg 0.000 0.000 0.230
Mg 0.000 0.000 0.770
Zr 0.500 0.500 0.000
Y 0.500 0.500 0.500

E above lowest polymorph in meV per atom: 32
Space group: P4/mmm (123)
DOS at the Fermi energy in states/eV/f.u.: 4.4
M_tot in μB/atom: 0.000
Energy of formation from the pure elements in eV/f.u.: 0.0

An optimized crystal structure of Y2MgZr. Source: Alexandria, functional GGA-PBE.

a b c (Å): 5.725 5.725 3.435
angles (deg): 90.00 90.00 104.20
Positions (direct):
Zr 0.500 0.000 0.500
Y 0.500 0.500 0.000
Y 0.000 0.000 0.000
Mg 0.000 0.500 0.500

Space group: Cmmm (65)
DOS at the Fermi energy in states/eV/f.u.: 6.6
M_tot in μB/atom: 0.000
Energy of formation from the pure elements in eV/f.u.: 0.4

An optimized crystal structure of Y2MgZr. Source: Alexandria, functional GGA-PBE.

a b c (Å): 6.255 6.255 5.579
angles (deg): 69.52 69.52 32.58
Positions (direct):
Y 0.763 0.763 0.697
Y 0.979 0.979 0.058
Mg 0.235 0.235 0.216
Zr 0.523 0.523 0.530

Space group: Cm (8)
DOS at the Fermi energy in states/eV/f.u.: 5.8
M_tot in μB/atom: 0.000
Energy of formation from the pure elements in eV/f.u.: 0.2

An optimized crystal structure of YMg2Zr2. Source: Alexandria, functional GGA-PBE.

a b c (Å): 8.674 8.674 3.276
angles (deg): 90.00 90.00 90.00
Last column: magnetic moment on the atom in μB.
Positions (direct):
Mg 0.821 0.321 0.500  0.00
Mg 0.679 0.821 0.500  0.00
Mg 0.179 0.679 0.500  0.00
Mg 0.321 0.179 0.500  0.00
Y 0.500 0.500 0.000  0.08
Y 0.000 0.000 0.000  0.08
Zr 0.617 0.117 0.000  -0.06
Zr 0.117 0.383 0.000  -0.04
Zr 0.383 0.883 0.000  -0.06
Zr 0.883 0.617 0.000  -0.04

E above lowest polymorph in meV per atom: 5
Space group: P4/mbm (127)
DOS at the Fermi energy in states/eV/f.u.: 6.4
M_tot in μB/atom: 0.001
Energy of formation from the pure elements in eV/f.u.: 0.9

An optimized crystal structure of Y4MgZr. Source: Alexandria, functional GGA-PBE.

a b c (Å): 6.366 6.366 6.366
angles (deg): 60.00 60.00 60.00
Last column: magnetic moment on the atom in μB.
Positions (direct):
Y 0.873 0.376 0.376  0.03
Y 0.376 0.873 0.376  0.03
Y 0.376 0.376 0.376  0.03
Y 0.376 0.376 0.873  0.03
Zr 0.750 0.750 0.750  0.80
Mg 0.000 0.000 0.000  -0.01

Space group: F-43m (216)
DOS at the Fermi energy in states/eV/f.u.: 7.5
M_tot in μB/atom: 0.283
Energy of formation from the pure elements in eV/f.u.: 2.5